Material: MnSiNi2
Method: DFT, PBE
State: relaxed

Its density of states at the Fermi level is 2.65 states/eV/cell. For the uncorrected formation energy, the calculation gives -0.12 eV per atom. The total DFT energy (no corrections) comes out at -26.6 eV/cell.

Unit cell a=7.9706 b=7.9706 c=7.9706 alpha=18.74 beta=18.74 gamma=18.74
Each line ends with the local moment (μB).
Positions (direct):
Ni  0.2458  0.2458  0.2458  0.25
Ni  0.0005  0.0005  0.0005  0.46
Si  0.5015  0.5015  0.5015  -0.02
Mn  0.7522  0.7522  0.7522  2.03

Material: MnSiNi2
Method: DFT, PBE
State: relaxed

Its density of states at the Fermi level is 2.61 states/eV/cell. For the uncorrected formation energy, the calculation gives -0.27 eV per atom. The total DFT energy (no corrections) comes out at -27.2 eV/cell.

Unit cell a=2.7777 b=2.7777 c=6.1214 alpha=90.00 beta=90.00 gamma=90.00
Each line ends with the local moment (μB).
Positions (direct):
Ni  0.0000  0.0000  0.4675  0.14
Si  0.5000  0.5000  0.2500  -0.01
Mn  0.5000  0.5000  0.7500  3.55
Ni  0.0000  0.0000  0.0325  0.14

Material: MnSiNi6
Method: DFT, PBE
State: relaxed

Its density of states at the Fermi level is 9.29 states/eV/cell. For the uncorrected formation energy, the calculation gives 0.04 eV per atom. The total DFT energy (no corrections) comes out at -48.9 eV/cell.

Unit cell a=4.1990 b=4.1990 c=6.4430 alpha=73.31 beta=73.31 gamma=68.99
Each line ends with the local moment (μB).
Positions (direct):
Si  0.0000  0.0000  0.0000  -0.02
Mn  0.5000  0.5000  0.5000  2.88
Ni  0.4474  0.9333  0.7016  0.08
Ni  0.9333  0.4474  0.7016  0.08
Ni  0.5526  0.0667  0.2984  0.08
Ni  0.0667  0.5526  0.2984  0.08
Ni  0.3531  0.3531  0.9355  0.02
Ni  0.6469  0.6469  0.0645  0.02

Material: MnSiNi
Method: DFT, PBE
State: relaxed

Its density of states at the Fermi level is 2.89 states/eV/cell. For the uncorrected formation energy, the calculation gives -0.13 eV per atom. The total DFT energy (no corrections) comes out at -20.8 eV/cell.

Unit cell a=2.6025 b=2.6025 c=5.8189 alpha=90.00 beta=90.00 gamma=120.00
Each line ends with the local moment (μB).
Positions (direct):
Mn  0.0000  0.0000  0.9915  1.36
Si  0.3333  0.6667  0.6632  -0.03
Ni  0.6667  0.3333  0.3453  0.02

- The lowest total DFT energy (no corrections) belongs to which entry?
  MnSiNi6